Record 1
Si4TcAs | PBE-GGA | optimized geometry

Computed properties:
formation energy from raw total energies	0.60	eV per atom

a = 7.0843 Å, b = 7.0843 Å, c = 7.0843 Å
α = 90.00°, β = 90.00°, γ = 90.00°
Last column: nearest neighbours and their distance in Å.
Space group F-43m (No. 216)
Asymmetric unit:
1 Si 0.1244 0.1244 0.3756 x16  6 Si 2.49-2.52
2 Tc 0.0000 0.0000 0.0000 x4  12 Si 2.94, 4 As 3.07
3 As 0.2500 0.2500 0.7500 x4  12 Si 2.94, 4 Tc 3.07

---

Record 2
CdIn2P | PBE-GGA | optimized geometry

Computed properties:
excess energy over the best structure of this formula in the dataset	250.1	meV per atom
energy of formation from the pure elements	1.07	eV/f.u.

a = 3.2752 Å, b = 3.2752 Å, c = 32.7323 Å
α = 90.00°, β = 90.00°, γ = 120.00°
Last column: nearest neighbours and their distance in Å.
Space group R-3m (No. 166, hexagonal axes)
Asymmetric unit:
1 Cd 0.0000 0.0000 0.0000 x3  6 Cd 3.28
2 In 0.0000 0.0000 0.2318 x6  3 P 2.85
3 P 0.0000 0.0000 0.5000 x3  6 In 2.85

---

Record 3
MnGaMoP | PBE-GGA | optimized geometry

Computed properties:
excess energy over the best structure of this formula in the dataset	49.1	meV per atom
energy of formation from the pure elements	-0.86	eV/f.u.

a = 3.2120 Å, b = 3.2120 Å, c = 5.4245 Å
α = 90.00°, β = 90.00°, γ = 90.00°
Last column: nearest neighbours and their distance in Å.
Space group P4mm (No. 99)
Asymmetric unit:
1 Mn 0.0000 0.0000 0.0000 x1  4 Ga 2.56, 2 P 2.67-2.75, 4 Mo 2.77
2 Ga 0.5000 0.5000 0.7838 x1  4 Mn 2.56, 2 Mo 2.67-2.75, 4 P 2.77
3 Mo 0.5000 0.5000 0.2912 x1  4 P 2.52, 2 Ga 2.67-2.75, 4 Mn 2.77
4 P 0.0000 0.0000 0.4923 x1  4 Mo 2.52, 2 Mn 2.67-2.75, 4 Ga 2.77

---

Record 4
CeAuO | PBE-GGA | optimized geometry

Computed properties:
excess energy over the best structure of this formula in the dataset	0.0	meV per atom
formation energy from raw total energies	-2.16	eV per atom

a = 3.9545 Å, b = 3.9545 Å, c = 7.3710 Å
α = 90.00°, β = 90.00°, γ = 90.00°
Last column: nearest neighbours and their distance in Å.
Space group P4/nmm (No. 129, origin choice 2)
Asymmetric unit:
1 Ce 0.2500 0.2500 0.1664 x2  4 O 2.33
2 Au 0.2500 0.2500 0.5912 x2  4 Au 3.10, 5 Ce 3.13-3.32
3 O 0.2500 0.7500 0.0000 x2  4 Ce 2.33

---

Record 5
RbU4Cu3Se12 | PBE-GGA | optimized geometry

Computed properties:
formation energy from raw total energies	-0.74	eV per atom

a = 10.2064 Å, b = 10.2064 Å, c = 10.2064 Å
α = 90.00°, β = 90.00°, γ = 90.00°
Last column: nearest neighbours and their distance in Å.
Space group Im-3 (No. 204)
Asymmetric unit:
1 Rb 0.0000 0.0000 0.0000 x2  12 Se 3.69
2 U 0.2500 0.2500 0.2500 x8  6 Se 2.77
3 Cu 0.0000 0.0000 0.5000 x6  4 Se 2.53
4 Se 0.0000 0.3197 0.1696 x24  1 Cu 2.53, 2 U 2.77

---

Record 6
CsGaI4 | PBE-GGA | optimized geometry

Computed properties:
excess energy over the best structure of this formula in the dataset	0.0	meV per atom
formation energy from raw total energies	-0.90	eV per atom

a = 9.3515 Å, b = 9.3515 Å, c = 7.0582 Å
α = 90.00°, β = 90.00°, γ = 90.00°
Last column: nearest neighbours and their distance in Å.
Space group I-4 (No. 82)
Asymmetric unit:
1 Cs 0.0000 0.0000 0.0000 x2  8 I 4.04-4.41
2 Ga 0.0000 0.5000 0.7500 x2  4 I 2.59
3 I 0.1174 0.3018 0.5457 x8  1 Ga 2.59

---

Record 7
Sm2DyH | PBE-GGA | optimized geometry

Computed properties:
excess energy over the best structure of this formula in the dataset	258.9	meV per atom

a = 3.4046 Å, b = 3.4046 Å, c = 8.5507 Å
α = 90.00°, β = 90.00°, γ = 90.00°
Last column: nearest neighbours and their distance in Å.
Space group P4/mmm (No. 123)
Asymmetric unit:
1 Sm 0.0000 0.0000 0.1917 x2  4 H 2.91
2 Dy 0.5000 0.5000 0.5000 x1  4 Dy 3.40, 8 Sm 3.57
3 H 0.5000 0.5000 0.0000 x1  8 Sm 2.91

---

Record 8
AcTb8Tm3 | PBE-GGA | optimized geometry

Computed properties:
energy of formation from the pure elements	4.17	eV/f.u.

a = 6.3865 Å, b = 11.4641 Å, c = 11.5382 Å
α = 90.00°, β = 90.00°, γ = 90.00°
Last column: nearest neighbours and their distance in Å.
Space group Immm (No. 71)
Asymmetric unit:
1 Ac 0.0000 0.0000 0.0000 x2  8 Tb 3.47-3.52
2 Tb 0.0000 0.2534 0.1719 x8  6 Tb 3.35-3.67, 1 Tm 3.45, 1 Ac 3.52
3 Tb 0.2390 0.0000 0.2699 x8  4 Tb 3.05-3.35, 1 Tm 3.13
4 Tm 0.0000 0.2261 0.5000 x4  10 Tb 3.77-4.01, 2 Tm 4.11
5 Tm 0.0000 0.5000 0.0000 x2  8 Tb 3.13-3.45

---

Record 9
SrLiMn2 | PBE-GGA | optimized geometry

Computed properties:
excess energy over the best structure of this formula in the dataset	290.4	meV per atom
energy of formation from the pure elements	2.63	eV/f.u.

a = 3.1521 Å, b = 4.4383 Å, c = 6.6344 Å
α = 90.00°, β = 102.84°, γ = 90.00°
Last column: nearest neighbours and their distance in Å.
Space group P2/m (No. 10)
Asymmetric unit:
1 Sr 0.0000 0.0000 0.0000 x1  2 Sr 3.15, 2 Li 3.32, 8 Mn 3.41-3.48
2 Li 0.0000 0.0000 0.5000 x1  4 Mn 2.65
3 Mn 0.3734 0.5000 0.6743 x2  2 Mn 2.61-2.91, 2 Li 2.65

---

Record 10
CuTc2Ag | PBE-GGA | optimized geometry

Computed properties:
excess energy over the best structure of this formula in the dataset	295.0	meV per atom
energy of formation from the pure elements	2.25	eV/f.u.

a = 3.2847 Å, b = 3.2847 Å, c = 5.6484 Å
α = 90.00°, β = 90.00°, γ = 90.00°
Last column: nearest neighbours and their distance in Å.
Space group P4/mmm (No. 123)
Asymmetric unit:
1 Cu 0.0000 0.0000 0.0000 x1  8 Tc 2.59, 2 Ag 2.82
2 Tc 0.5000 0.5000 0.2021 x2  1 Tc 2.28
3 Ag 0.0000 0.0000 0.5000 x1  2 Cu 2.82, 8 Tc 2.87

---

Record 11
DyHfInHg | PBE-GGA | optimized geometry

Computed properties:
energy of formation from the pure elements	-0.75	eV/f.u.

a = 7.2303 Å, b = 7.2303 Å, c = 7.2303 Å
α = 90.00°, β = 90.00°, γ = 90.00°
Last column: nearest neighbours and their distance in Å.
Space group F-43m (No. 216)
Asymmetric unit:
1 Dy 0.0000 0.0000 0.0000 x4  4 In 3.13, 4 Hg 3.13
2 Hf 0.0000 0.0000 0.5000 x4  4 Hg 3.13, 4 In 3.13
3 In 0.2500 0.2500 0.2500 x4  4 Hf 3.13, 4 Dy 3.13
4 Hg 0.2500 0.2500 0.7500 x4  4 Hf 3.13, 4 Dy 3.13

---

Record 12
SrCoAs3 | PBE-GGA | optimized geometry

Computed properties:
excess energy over the best structure of this formula in the dataset	1745.2	meV per atom
energy of formation from the pure elements	7.83	eV/f.u.

a = 5.5447 Å, b = 5.5447 Å, c = 5.5447 Å
α = 90.00°, β = 90.00°, γ = 90.00°
Last column: nearest neighbours and their distance in Å.
Space group Pm-3m (No. 221)
Asymmetric unit:
1 Sr 0.0000 0.0000 0.0000 x1  6 As 2.77
2 Co 0.5000 0.5000 0.5000 x1  12 As 3.92
3 As 0.0000 0.0000 0.5000 x3  2 Sr 2.77

---

Record 13
GaS2Cl | PBE-GGA | optimized geometry

Computed properties:
excess energy over the best structure of this formula in the dataset	319.6	meV per atom
formation energy from raw total energies	0.06	eV per atom

a = 6.4564 Å, b = 6.4564 Å, c = 9.3348 Å
α = 90.00°, β = 90.00°, γ = 90.00°
Last column: nearest neighbours and their distance in Å.
Space group I-42d (No. 122)
Asymmetric unit:
1 Ga 0.0000 0.0000 0.0000 x4  4 S 2.31
2 S 0.1823 0.2500 0.1250 x8  2 Ga 2.31
3 Cl 0.0000 0.0000 0.5000 x4  4 S 2.86

---

In order of appearance, total moment = 0.0; 0.0; 2.5; 1.7; 7.7; 0.0; 0.0; 0.0; 7.6; 0.0; 0.0; 2.5; 0.0 μB per cell.
In order of appearance, total energy = -132.3; -32.2; -29.3; -41.3; -230.2; -31.0; -17.0; -100.8; -19.3; -25.4; -73.4; -14.9; -51.6 eV/cell.